Computed, not measured: LiSnB after structural relaxation at the PBE level of DFT.

Cell: 3.6009 5.3826 5.9985 Å, 107.40 90.13 109.46°
Space group P1 (No. 1)
Asymmetric unit:
Li  0.0000  0.0000  0.0000
Li  0.2340  0.4680  0.4995
Sn  0.4715  0.9441  0.3881
Sn  0.7033  0.4071  0.8803
B  0.6512  0.3017  0.2335
B  0.8180  0.6370  0.3059

Energy above the most stable polymorph in this dataset (meV/atom): 273
DFT formation energy (eV/atom): 0.18
DFT total energy (eV per atom): -4.015
Crystal system: triclinic

Computed, not measured: PrBH2O4 after structural relaxation at the PBE level of DFT.

Cell: 4.0126 5.6170 6.2407 Å, 90.00 90.00 90.00°
Space group I222 (No. 23)
Asymmetric unit:
Pr  0.0000  0.0000  0.0000
B  0.0000  0.0000  0.5000
H  0.0000  0.5000  0.1453
O  0.2392  0.1300  0.3554

DFT total energy (eV per atom): -6.829
Crystal system: orthorhombic

Computed, not measured: CsCaCrBr6 after structural relaxation at the PBE level of DFT.

Cell: 7.1516 7.1516 8.0870 Å, 90.00 90.00 120.00°
Space group P312 (No. 149)
Asymmetric unit:
Cs  0.0000  0.0000  0.0000
Ca  0.6667  0.3333  0.5000
Cr  0.3333  0.6667  0.5000
Br  0.0383  0.3876  0.3145

Raw formation energy (meV/atom): -1422
DFT total energy (eV per atom): -3.924
Crystal system: trigonal

Q: Which value of DFT total energy does entry 1 give?
A: -4.015 eV per atom